Entry 1:
A geometry-optimized ScCu2Pt structure, computed with PBEsol.

Formation energy from the elements = -0.4818 eV/atom
D(E_F) = 2.7 states/eV/f.u.
Density = 10.71 g/cm³

The structure in CIF format:
```
data_ScCu2Pt
_chemical_formula_sum 'Sc4 Cu8 Pt4'
_cell_length_a 6.1071
_cell_length_b 6.1071
_cell_length_c 6.1071
_cell_angle_alpha 90.00
_cell_angle_beta 90.00
_cell_angle_gamma 90.00
_space_group_name_H-M_alt 'F m -3 m'
_space_group_IT_number 225
_space_group_name_Hall '-F 4 2 3'
loop_
_atom_site_label
_atom_site_type_symbol
_atom_site_fract_x
_atom_site_fract_y
_atom_site_fract_z
_atom_site_occupancy
Sc1 Sc 0.0000 0.0000 0.0000 1
Cu1 Cu 0.2500 0.2500 0.2500 1
Pt1 Pt 0.0000 0.0000 0.5000 1
```

Entry 2:
A geometry-optimized ScCu2Pt structure, computed with PBEsol.

Formation energy from the elements = -0.5886 eV/atom
D(E_F) = 1.6 states/eV/f.u.
Density = 10.79 g/cm³

The structure in CIF format:
```
data_ScCu2Pt
_chemical_formula_sum 'Sc2 Cu4 Pt2'
_cell_length_a 3.7942
_cell_length_b 3.7942
_cell_length_c 7.8490
_cell_angle_alpha 90.00
_cell_angle_beta 90.00
_cell_angle_gamma 90.00
_space_group_name_H-M_alt 'I 4/m m m'
_space_group_IT_number 139
_space_group_name_Hall '-I 4 2'
loop_
_atom_site_label
_atom_site_type_symbol
_atom_site_fract_x
_atom_site_fract_y
_atom_site_fract_z
_atom_site_occupancy
Sc1 Sc 0.0000 0.0000 0.0000 1
Cu1 Cu 0.0000 0.5000 0.2500 1
Pt1 Pt 0.0000 0.0000 0.5000 1
```

Entry 3:
A geometry-optimized Sc3CuPt structure, computed with PBEsol.

Formation energy from the elements = 0.1313 eV/atom
D(E_F) = 7.9 states/eV/f.u.
Density = 6.15 g/cm³

The structure in CIF format:
```
data_Sc3CuPt
_chemical_formula_sum 'Sc3 Cu1 Pt1'
_cell_length_a 4.7352
_cell_length_b 4.7352
_cell_length_c 4.7352
_cell_angle_alpha 90.00
_cell_angle_beta 90.00
_cell_angle_gamma 90.00
_space_group_name_H-M_alt 'P m -3 m'
_space_group_IT_number 221
_space_group_name_Hall '-P 4 2 3'
loop_
_atom_site_label
_atom_site_type_symbol
_atom_site_fract_x
_atom_site_fract_y
_atom_site_fract_z
_atom_site_occupancy
Sc1 Sc 0.0000 0.0000 0.5000 1
Cu1 Cu 0.0000 0.0000 0.0000 1
Pt1 Pt 0.5000 0.5000 0.5000 1
```

Entry 4:
A geometry-optimized Sc2CuPt structure, computed with PBEsol.

Formation energy from the elements = -0.7813 eV/atom
D(E_F) = 2.4 states/eV/f.u.
Density = 8.57 g/cm³

The structure in CIF format:
```
data_Sc2CuPt
_chemical_formula_sum 'Sc8 Cu4 Pt4'
_cell_length_a 6.4654
_cell_length_b 6.4654
_cell_length_c 6.4654
_cell_angle_alpha 90.00
_cell_angle_beta 90.00
_cell_angle_gamma 90.00
_space_group_name_H-M_alt 'F m -3 m'
_space_group_IT_number 225
_space_group_name_Hall '-F 4 2 3'
loop_
_atom_site_label
_atom_site_type_symbol
_atom_site_fract_x
_atom_site_fract_y
_atom_site_fract_z
_atom_site_occupancy
Sc1 Sc 0.2500 0.2500 0.2500 1
Cu1 Cu 0.0000 0.0000 0.0000 1
Pt1 Pt 0.0000 0.0000 0.5000 1
```

Record order is preserved below.
Final energy: -24.16; -24.59; -30.46; -27.63 eV/f.u.